[1]
{"formula": "K3SrO8", "functional": "PBE-GGA", "state": "relaxed", "lattice_angstrom": [[-3.905, 4.222, -3.378], [-3.149, -5.419, 2.282], [-4.651, 1.265, 4.619]], "species": ["O", "O", "K", "O", "K", "O", "O", "O", "O", "Sr", "O", "K"], "fractional_positions": [[0.326, 0.000, 0.140], [0.611, 0.682, 0.389], [0.750, 0.500, 0.750], [0.140, 0.466, 0.860], [0.250, 0.500, 0.250], [0.674, 0.534, 0.326], [0.071, 0.000, 0.612], [0.860, 0.000, 0.675], [0.389, 0.000, 0.929], [0.000, 0.000, 0.000], [0.929, 0.318, 0.071], [0.500, 0.000, 0.500]], "total_magnetization_mub_per_atom": 0.25, "raw_formation_energy_ev_per_atom": -1.052, "space_group": "I-42m", "density_g_cm3": 2.5, "final_energy_ev_per_atom": -4.77}

***

[2]
{"formula": "K2SrO6", "functional": "PBE-GGA", "state": "relaxed", "lattice_angstrom": [[5.402, 0.000, 0.000], [0.000, 4.919, -2.836], [0.000, -0.003, 5.678]], "species": ["K", "O", "O", "Sr", "O", "K", "O", "O", "O"], "fractional_positions": [[0.500, 0.667, 0.333], [0.127, 0.000, 0.493], [0.873, 0.507, 0.000], [0.000, 0.000, 0.000], [0.873, 0.000, 0.507], [0.500, 0.333, 0.667], [0.127, 0.507, 0.507], [0.127, 0.493, 0.000], [0.873, 0.493, 0.493]], "total_magnetization_mub_per_atom": 0.23, "raw_formation_energy_ev_per_atom": -0.879, "space_group": "P-31m", "density_g_cm3": 2.9, "final_energy_ev_per_atom": -4.62}

***

[3]
{"formula": "KSr2O", "functional": "PBE-GGA", "state": "relaxed", "lattice_angstrom": [[-1.584, -7.698, 1.066], [6.377, -1.909, -4.313], [5.543, -4.806, 3.030]], "species": ["K", "Sr", "O", "K", "O", "Sr", "Sr", "Sr"], "fractional_positions": [[0.750, 0.250, 0.500], [0.875, 0.624, 0.750], [0.250, 0.750, 0.500], [0.000, 0.000, 0.000], [0.500, 0.500, 0.000], [0.376, 0.625, 0.250], [0.374, 0.125, 0.250], [0.375, 0.626, 0.750]], "total_magnetization_mub_per_atom": 0.00, "raw_formation_energy_ev_per_atom": -1.240, "space_group": "I-42d", "density_g_cm3": 2.2, "final_energy_ev_per_atom": -3.59}

***

[4]
{"formula": "KSrO2", "functional": "PBE-GGA", "state": "relaxed", "lattice_angstrom": [[0.000, 3.185, 3.185], [3.185, 0.000, 3.185], [3.185, 3.185, 0.000]], "species": ["Sr", "K", "O", "O"], "fractional_positions": [[0.500, 0.500, 0.500], [0.000, 0.000, 0.000], [0.750, 0.750, 0.750], [0.250, 0.250, 0.250]], "total_magnetization_mub_per_atom": 0.25, "raw_formation_energy_ev_per_atom": -1.513, "space_group": "Fm-3m", "density_g_cm3": 4.1, "final_energy_ev_per_atom": -4.69}

***

[5]
{"formula": "KSrO", "functional": "PBE-GGA", "state": "relaxed", "lattice_angstrom": [[-5.544, -2.582, 2.525], [3.442, -6.514, 0.895], [2.735, 2.642, 8.707]], "species": ["O", "Sr", "O", "K", "K", "Sr", "K", "O", "Sr", "K", "Sr", "O"], "fractional_positions": [[0.502, 0.895, 0.916], [0.642, 0.100, 0.083], [0.002, 0.605, 0.916], [0.585, 0.523, 0.339], [0.585, 0.023, 0.661], [0.142, 0.400, 0.083], [0.085, 0.977, 0.339], [0.002, 0.105, 0.084], [0.642, 0.600, 0.917], [0.085, 0.477, 0.661], [0.142, 0.900, 0.917], [0.502, 0.395, 0.084]], "e_above_lowest_polymorph_mev_per_atom": 0, "total_magnetization_mub_per_atom": 0.00, "raw_formation_energy_ev_per_atom": -1.596, "space_group": "Pca2_1", "density_g_cm3": 2.0, "final_energy_ev_per_atom": -4.17}

***

[6]
{"formula": "K14Sr2O9", "functional": "PBE-GGA", "state": "relaxed", "lattice_angstrom": [[-5.979, -3.067, 4.029], [6.536, -4.179, -1.099], [4.164, 4.073, 9.281]], "species": ["Sr", "K", "O", "K", "K", "K", "K", "K", "O", "O", "O", "K", "K", "O", "K", "K", "O", "Sr", "O", "K", "K", "K", "O", "K", "O"], "fractional_positions": [[0.333, 0.667, 0.261], [0.695, 0.072, 0.411], [0.642, 0.701, 0.338], [0.315, 0.363, 0.908], [0.000, 0.000, 0.255], [0.952, 0.315, 0.092], [0.048, 0.685, 0.908], [0.637, 0.952, 0.908], [0.667, 0.333, 0.961], [0.333, 0.667, 0.039], [0.941, 0.642, 0.662], [0.305, 0.928, 0.589], [0.000, 0.000, 0.745], [0.358, 0.299, 0.662], [0.685, 0.637, 0.092], [0.378, 0.305, 0.411], [0.299, 0.941, 0.338], [0.667, 0.333, 0.739], [0.059, 0.358, 0.338], [0.072, 0.378, 0.589], [0.363, 0.048, 0.092], [0.622, 0.695, 0.589], [0.701, 0.059, 0.662], [0.928, 0.622, 0.411], [0.000, 0.000, 0.000]], "total_magnetization_mub_per_atom": 0.02, "raw_formation_energy_ev_per_atom": -1.292, "space_group": "P-3", "density_g_cm3": 2.5, "final_energy_ev_per_atom": -3.83}

***

[7]
{"formula": "KSrO2", "functional": "PBE-GGA", "state": "relaxed", "lattice_angstrom": [[-1.234, 3.006, 4.886], [2.660, -4.129, 3.211], [5.784, 2.323, 3.556]], "species": ["K", "Sr", "O", "Sr", "K", "O", "O", "O"], "fractional_positions": [[0.500, 0.500, 0.000], [0.750, 0.250, 0.500], [0.375, 0.330, 0.750], [0.000, 0.000, 0.000], [0.250, 0.750, 0.500], [0.875, 0.920, 0.750], [0.080, 0.625, 0.250], [0.670, 0.125, 0.250]], "total_magnetization_mub_per_atom": 0.25, "raw_formation_energy_ev_per_atom": -1.555, "space_group": "I-42d", "density_g_cm3": 2.6, "final_energy_ev_per_atom": -4.73}

***

[8]
{"formula": "KSr3O", "functional": "PBE-GGA", "state": "relaxed", "lattice_angstrom": [[7.210, 0.000, 0.000], [0.000, 7.210, 0.000], [0.000, 0.000, 7.210]], "species": ["K", "O", "Sr", "Sr", "Sr"], "fractional_positions": [[0.000, 0.000, 0.000], [0.500, 0.500, 0.500], [0.000, 0.000, 0.500], [0.500, 0.000, 0.000], [0.000, 0.500, 0.000]], "e_above_lowest_polymorph_mev_per_atom": 1774, "total_magnetization_mub_per_atom": 0.18, "raw_formation_energy_ev_per_atom": 1.005, "space_group": "Pm-3m", "density_g_cm3": 1.4, "final_energy_ev_per_atom": -1.21}